6
Lattice="0.0000 3.6883 3.6883 3.6883 0.0000 3.6883 3.6883 3.6883 0.0000" Properties=species:S:1:pos:R:3 comment="FeOs4Br | Alexandria | PBE-GGA | relaxed" total_magnetization_mub_per_fu=1.749 formation_energy_uncorrected_kj_per_mol_atoms=136 n_ef_per_ev_fu=9.4 spacegroup="F-43m (216)" e_tot_ev_per_atom=-7.766 pbc="T T T"
Fe 0.0000 0.0000 0.0000
Os 4.6125 2.7641 2.7641
Os 2.7641 4.6125 2.7641
Os 2.7641 2.7641 4.6125
Os 4.6125 4.6125 4.6125
Br 1.8441 1.8441 1.8441

=====

4
Lattice="1.4488 0.8365 8.2427 -1.4488 0.8365 8.2427 0.0000 -1.6729 8.2427" Properties=species:S:1:pos:R:3 comment="Fe2OsBr | Alexandria | PBE-GGA | relaxed" de_polymorph_ev_per_atom=0.1333 total_magnetization_mub_per_fu=5.069 formation_energy_uncorrected_kj_per_mol_atoms=64 n_ef_per_ev_fu=3.6 spacegroup="R3m (160)" e_tot_ev_per_atom=-6.794 pbc="T T T"
Fe 0.0000 0.0000 0.0000
Fe 0.0000 0.0000 6.4187
Os 0.0000 0.0000 12.7692
Br 0.0000 0.0000 18.4450

=====

4
Lattice="-1.4506 1.8659 6.2936 1.4506 -1.8659 6.2936 1.4506 1.8659 -6.2936" Properties=species:S:1:pos:R:3 comment="Fe2OsBr | Alexandria | PBE-GGA | relaxed" de_polymorph_ev_per_atom=0.2083 total_magnetization_mub_per_fu=5.090 formation_energy_uncorrected_kj_per_mol_atoms=71 n_ef_per_ev_fu=3.9 spacegroup="Imm2 (44)" e_tot_ev_per_atom=-6.719 pbc="T T T"
Fe 0.0000 0.0000 0.0000
Fe 0.0000 1.8659 1.4703
Os 1.4506 0.0000 2.2485
Br 0.0000 0.0000 4.5280

=====

4
Lattice="4.5665 -1.4578 0.0000 4.5665 1.4578 0.0000 -1.2353 0.0000 4.6035" Properties=species:S:1:pos:R:3 comment="Fe2OsBr | Alexandria | PBE-GGA | relaxed" de_polymorph_ev_per_atom=0.4131 total_magnetization_mub_per_fu=5.617 formation_energy_uncorrected_kj_per_mol_atoms=91 n_ef_per_ev_fu=4.3 spacegroup="C2/m (12)" e_tot_ev_per_atom=-6.514 pbc="T T T"
Fe 1.9966 0.0000 0.8972
Fe 5.9010 0.0000 3.7063
Os 4.5665 0.0000 0.0000
Br -0.6177 0.0000 2.3018

=====

4
Lattice="8.5331 -1.4491 0.0000 8.5331 1.4491 0.0000 -1.0009 0.0000 4.0479" Properties=species:S:1:pos:R:3 comment="FeOsBr2 | Alexandria | PBE-GGA | relaxed" de_polymorph_ev_per_atom=0.0722 total_magnetization_mub_per_fu=3.832 formation_energy_uncorrected_kj_per_mol_atoms=46 n_ef_per_ev_fu=2.7 spacegroup="C2/m (12)" e_tot_ev_per_atom=-5.286 pbc="T T T"
Fe 0.0000 0.0000 0.0000
Os 8.0326 0.0000 2.0239
Br 5.6506 0.0000 1.4325
Br 10.4147 0.0000 2.6153

=====

5
Lattice="4.6983 0.0000 0.0000 0.0000 4.6983 0.0000 0.0000 0.0000 4.6983" Properties=species:S:1:pos:R:3 comment="Fe3OsBr | Alexandria | PBE-GGA | relaxed" total_magnetization_mub_per_fu=9.294 formation_energy_uncorrected_kj_per_mol_atoms=135 n_ef_per_ev_fu=9.7 spacegroup="Pm-3m (221)" e_tot_ev_per_atom=-6.254 pbc="T T T"
Fe 0.0000 0.0000 2.3491
Fe 0.0000 2.3491 0.0000
Fe 2.3491 0.0000 0.0000
Os 0.0000 0.0000 0.0000
Br 2.3491 2.3491 2.3491

=====

4
Lattice="0.0000 3.3474 3.3474 3.3474 0.0000 3.3474 3.3474 3.3474 0.0000" Properties=species:S:1:pos:R:3 comment="FeOsBr2 | Alexandria | PBE-GGA | relaxed" de_polymorph_ev_per_atom=1.1160 total_magnetization_mub_per_fu=5.338 formation_energy_uncorrected_kj_per_mol_atoms=146 n_ef_per_ev_fu=5.0 spacegroup="F-43m (216)" e_tot_ev_per_atom=-4.242 pbc="T T T"
Fe 0.0000 0.0000 0.0000
Os 1.6737 1.6737 1.6737
Br 3.3474 3.3474 3.3474
Br 5.0210 5.0210 5.0210

=====

6
Lattice="0.0000 3.4891 3.4891 3.4891 0.0000 3.4891 3.4891 3.4891 0.0000" Properties=species:S:1:pos:R:3 comment="Fe4OsBr | Alexandria | PBE-GGA | relaxed" total_magnetization_mub_per_fu=12.495 formation_energy_uncorrected_kj_per_mol_atoms=77 n_ef_per_ev_fu=5.0 spacegroup="F-43m (216)" e_tot_ev_per_atom=-6.999 pbc="T T T"
Fe 0.8659 0.8659 0.8659
Fe 2.6232 2.6232 0.8659
Fe 2.6232 0.8659 2.6232
Fe 0.8659 2.6232 2.6232
Os 5.2336 5.2336 5.2336
Br 3.4891 3.4891 3.4891

=====

4
Lattice="3.0804 -4.1770 0.0000 3.0804 4.1770 0.0000 -0.0285 0.0000 3.0327" Properties=species:S:1:pos:R:3 comment="FeOsBr2 | Alexandria | PBE-GGA | relaxed" de_polymorph_ev_per_atom=0.7446 total_magnetization_mub_per_fu=3.943 formation_energy_uncorrected_kj_per_mol_atoms=111 n_ef_per_ev_fu=3.9 spacegroup="C2/m (12)" e_tot_ev_per_atom=-4.613 pbc="T T T"
Fe 0.0000 0.0000 0.0000
Os 3.0804 0.0000 0.0000
Br 1.5402 2.0885 0.0000
Br 1.5402 -2.0885 0.0000

=====

4
Lattice="0.0000 3.0383 3.0383 3.0383 0.0000 3.0383 3.0383 3.0383 0.0000" Properties=species:S:1:pos:R:3 comment="Fe2OsBr | Alexandria | PBE-GGA | relaxed" de_polymorph_ev_per_atom=0.6107 total_magnetization_mub_per_fu=3.897 formation_energy_uncorrected_kj_per_mol_atoms=110 n_ef_per_ev_fu=3.5 spacegroup="Fm-3m (225)" e_tot_ev_per_atom=-6.317 pbc="T T T"
Fe 1.5191 1.5191 1.5191
Fe 4.5574 4.5574 4.5574
Os 0.0000 0.0000 0.0000
Br 3.0383 3.0383 3.0383

=====

3
Lattice="4.3456 0.0000 0.0000 -2.1728 3.7634 0.0000 0.0000 0.0000 2.9002" Properties=species:S:1:pos:R:3 comment="FeOsBr | Alexandria | PBE-GGA | relaxed" de_polymorph_ev_per_atom=0.3578 total_magnetization_mub_per_fu=3.347 formation_energy_uncorrected_kj_per_mol_atoms=112 n_ef_per_ev_fu=3.7 spacegroup="P-6m2 (187)" e_tot_ev_per_atom=-5.959 pbc="T T T"
Fe 0.0000 0.0000 0.0000
Os 2.1728 1.2545 1.4501
Br 0.0000 2.5089 1.4501

=====

4
Lattice="1.6335 0.9431 7.6993 -1.6335 0.9431 7.6993 0.0000 -1.8862 7.6993" Properties=species:S:1:pos:R:3 comment="FeOsBr2 | Alexandria | PBE-GGA | relaxed" de_polymorph_ev_per_atom=0.6135 total_magnetization_mub_per_fu=0.000 formation_energy_uncorrected_kj_per_mol_atoms=98 n_ef_per_ev_fu=2.7 spacegroup="R-3m (166)" e_tot_ev_per_atom=-4.744 pbc="T T T"
Fe 0.0000 0.0000 0.0000
Os 0.0000 0.0000 11.5489
Br 0.0000 0.0000 9.1476
Br 0.0000 0.0000 13.9502